1.
Here is crystalline Dy2Th at its relaxed geometry from the Alexandria database. Energies are from PBE.

abc: 6.4760 6.4760 6.4760
angles: 60.00 60.00 60.00
Atoms (fractional coordinates):
Th: 0.0000 0.0000 0.0000
Th: 0.2500 0.2500 0.2500
Dy: 0.6250 0.6250 0.1250
Dy: 0.1250 0.6250 0.6250
Dy: 0.6250 0.1250 0.6250
Dy: 0.6250 0.6250 0.6250

* space-group type: No. 227
* formation energy from the elements: 1.0 eV per formula unit
* excess energy over the best structure of this formula in the dataset: 0.3611 eV/atom

---

2.
Here is crystalline Hf2CrCu at its relaxed geometry from the Alexandria database. Energies are from PBE.

abc: 4.0423 4.0423 9.4795
angles: 77.69 77.69 90.00
Atoms (fractional coordinates):
Hf: 0.3750 0.3806 0.7500
Hf: 0.6194 0.1250 0.2500
Hf: 0.1306 0.6250 0.2500
Hf: 0.8750 0.8694 0.7500
Cr: 0.2500 0.7500 0.5000
Cr: 0.5000 0.5000 0.0000
Cu: 0.0000 0.0000 0.0000
Cu: 0.7500 0.2500 0.5000

* space-group type: No. 122
* formation energy from the elements: 3.3 eV per formula unit

---

3.
Here is crystalline SnW3I at its relaxed geometry from the Alexandria database. Energies are from PBE.

abc: 4.9055 4.9055 4.9055
angles: 90.00 90.00 90.00
Atoms (fractional coordinates):
W: 0.0000 0.0000 0.5000
W: 0.5000 0.0000 0.0000
W: 0.0000 0.5000 0.0000
Sn: 0.5000 0.5000 0.5000
I: 0.0000 0.0000 0.0000

* space-group type: No. 221
* excess energy over the best structure of this formula in the dataset: 0.0000 eV/atom

---

4.
Here is crystalline V6Ni12Ir at its relaxed geometry from the Alexandria database. Energies are from PBE.

abc: 6.1571 6.1571 6.1571
angles: 90.30 90.30 90.30
Atoms (fractional coordinates):
V: 0.2744 0.7198 0.8826
V: 0.8826 0.2744 0.7198
V: 0.7256 0.2802 0.1174
V: 0.1174 0.7256 0.2802
V: 0.2802 0.1174 0.7256
V: 0.7198 0.8826 0.2744
Ni: 0.5246 0.4313 0.7979
Ni: 0.8438 0.6228 0.9624
Ni: 0.6228 0.9624 0.8438
Ni: 0.7979 0.5246 0.4313
Ni: 0.1562 0.3772 0.0376
Ni: 0.4754 0.5687 0.2021
Ni: 0.4313 0.7979 0.5246
Ni: 0.2021 0.4754 0.5687
Ni: 0.9624 0.8438 0.6228
Ni: 0.0376 0.1562 0.3772
Ni: 0.3772 0.0376 0.1562
Ni: 0.5687 0.2021 0.4754
Ir: 0.0000 0.0000 0.0000

* space-group type: No. 148
* formation energy from the elements: -0.9 eV per formula unit

---

5.
Here is crystalline PaTiSn at its relaxed geometry from the Alexandria database. Energies are from PBE.

abc: 3.2549 4.9328 4.9328
angles: 120.00 90.00 90.00
Atoms (fractional coordinates):
Sn: 0.8330 0.3333 0.6667
Ti: 0.8336 0.0000 0.0000
Pa: 0.3333 0.6667 0.3333

* space-group type: No. 187
* formation energy from the elements: -0.1 eV per formula unit

---

6.
Here is crystalline AcAgSb at its relaxed geometry from the Alexandria database. Energies are from PBE.

abc: 4.4523 4.4523 5.6876
angles: 113.04 113.04 90.00
Atoms (fractional coordinates):
Sb: 0.9663 0.9663 0.9325
Ac: 0.6103 0.6103 0.2205
Ag: 0.2735 0.2735 0.5469

* space-group type: No. 107
* excess energy over the best structure of this formula in the dataset: 0.2764 eV/atom

---

7.
Here is crystalline Cs2CdInSb2 at its relaxed geometry from the Alexandria database. Energies are from PBE.

abc: 7.4261 7.4409 10.1396
angles: 111.53 111.48 90.00
Atoms (fractional coordinates):
Sb: 0.1645 0.9092 0.8185
Sb: 0.6540 0.4092 0.8185
Sb: 0.3460 0.5908 0.1815
Sb: 0.8355 0.0908 0.1815
Cs: 0.5812 0.8319 0.6638
Cs: 0.9174 0.6681 0.3362
Cs: 0.0826 0.3319 0.6638
Cs: 0.4188 0.1681 0.3362
Cd: 0.5000 0.2500 0.0000
Cd: 0.5000 0.7500 0.0000
In: 0.0000 0.2500 0.0000
In: 0.0000 0.7500 0.0000

* E_tot: -2.654 eV/atom
* space-group type: No. 72

---

8.
Here is crystalline LiYU2S4 at its relaxed geometry from the Alexandria database. Energies are from PBE.

abc: 3.8054 6.5769 6.9025
angles: 108.60 90.00 90.00
Each line ends with the local moment (μB).
Atoms (fractional coordinates):
Li: 0.5000 0.5000 0.0000  0.00
S: 0.5000 0.2556 0.2423  -0.04
S: 0.0000 0.2598 0.7605  -0.04
S: 0.5000 0.7444 0.7577  -0.04
S: 0.0000 0.7402 0.2395  -0.04
Y: 0.0000 0.0000 0.0000  0.01
U: 0.5000 0.0000 0.5000  2.55
U: 0.0000 0.5000 0.5000  2.39

* E_tot: -7.461 eV/atom
* space-group type: No. 10